# 1
A plane-wave DFT calculation with GGA-PBE was carried out for a relaxed structure of NaV2Se2.

a = 4.8587 Å, b = 4.8587 Å, c = 7.9070 Å
α = 90.00°, β = 90.00°, γ = 90.00°
Space group I4/mmm (No. 139)
Asymmetric unit:
Na 0.0000 0.0000 0.0000
V 0.0000 0.0000 0.3787
Se 0.0000 0.5000 0.2500

Results
Its uncorrected formation energy is -412 meV per atom. As for the volume: 18.666 A^3/atom. The final energy is -28.59 eV/f.u.

# 2
A plane-wave DFT calculation with GGA-PBE was carried out for a relaxed structure of LiCa2Pd2.

a = 7.5302 Å, b = 7.5302 Å, c = 4.0360 Å
α = 90.00°, β = 90.00°, γ = 90.00°
Space group P4/mbm (No. 127)
Asymmetric unit:
Li 0.0000 0.0000 0.0000
Ca 0.1669 0.3331 0.5000
Pd 0.1317 0.6317 0.0000

Results
The value obtained for the calculated formation energy is -261 kJ/mol of formula units. As for the volume: 22.886 A^3/atom. The final energy is -19.01 eV/f.u.